Ta2NbW | PBE-GGA | optimized geometry

## Properties
Calculated formation energy in eV per formula unit: -0.1
Volume in A^3/atom: 17.6

Structure (CIF):
```
data_Ta2NbW
_chemical_formula_sum 'Ta8 Nb4 W4'
_space_group_name_H-M_alt 'F -4 3 m'
_space_group_IT_number 216
_space_group_name_Hall 'F -4 2 3'
_cell_length_a 6.5500
_cell_length_b 6.5500
_cell_length_c 6.5500
_cell_angle_alpha 90.00
_cell_angle_beta 90.00
_cell_angle_gamma 90.00
loop_
_atom_site_label
_atom_site_fract_x
_atom_site_fract_y
_atom_site_fract_z
Ta1 0.0000 0.0000 0.0000
Ta2 0.2500 0.2500 0.2500
Nb1 0.2500 0.2500 0.7500
W1 0.0000 0.0000 0.5000
```